Entry 1:
# GGA-PBE BeCrPdRu, relaxed
data_BeCrPdRu
_chemical_formula_sum 'Be1 Cr1 Pd1 Ru1'
_cell_length_a 4.147
_cell_length_b 4.147
_cell_length_c 4.147
_cell_angle_alpha 60.00
_cell_angle_beta 60.00
_cell_angle_gamma 60.00
_space_group_name_H-M_alt 'P 1'
_space_group_IT_number 1
_space_group_name_Hall 'P 1'
loop_
_atom_site_label
_atom_site_fract_x
_atom_site_fract_y
_atom_site_fract_z
Pd1 0.750 0.750 0.750
Be1 0.000 0.000 0.000
Cr1 0.500 0.500 0.500
Ru1 0.250 0.250 0.250
# Energy, Ha/atom: -0.2594
# Volume, Å³ per cell: 50.4
# Density of states at the Fermi level, states/eV/cell: 1.72
# Energy relative to the elements, meV per atom: -105

Entry 2:
# GGA-PBE Ca3YAl8, relaxed
data_Ca3YAl8
_chemical_formula_sum 'Ca3 Y1 Al8'
_cell_length_a 5.624
_cell_length_b 5.624
_cell_length_c 9.795
_cell_angle_alpha 73.32
_cell_angle_beta 73.32
_cell_angle_gamma 60.00
_space_group_name_H-M_alt 'P 1'
_space_group_IT_number 1
_space_group_name_Hall 'P 1'
loop_
_atom_site_label
_atom_site_fract_x
_atom_site_fract_y
_atom_site_fract_z
Al1 0.937 0.937 0.685
Al2 0.688 0.688 0.937
Al3 0.937 0.440 0.685
Al4 0.936 0.437 0.190
Al5 0.440 0.937 0.685
Al6 0.437 0.936 0.190
Al7 0.437 0.437 0.190
Al8 0.188 0.188 0.437
Y1 0.875 0.875 0.376
Ca1 0.000 0.000 0.999
Ca2 0.500 0.500 0.500
Ca3 0.375 0.375 0.875
# Energy, Ha/atom: -0.1437
# Volume, Å³ per cell: 253.1
# Energy above the most stable polymorph in this dataset, meV/atom: 0
# Density of states at the Fermi level, states/eV/cell: 5.12
# Energy relative to the elements, meV per atom: -376

Entry 3:
# GGA-PBE CeMoOs, relaxed
data_CeMoOs
_chemical_formula_sum 'Ce2 Mo2 Os2'
_cell_length_a 5.087
_cell_length_b 5.469
_cell_length_c 5.469
_cell_angle_alpha 65.30
_cell_angle_beta 62.29
_cell_angle_gamma 62.29
_space_group_name_H-M_alt 'P 1'
_space_group_IT_number 1
_space_group_name_Hall 'P 1'
loop_
_atom_site_label
_atom_site_fract_x
_atom_site_fract_y
_atom_site_fract_z
Mo1 0.000 0.000 0.000
Mo2 0.500 0.000 0.000
Os1 0.500 0.500 0.000
Os2 0.500 0.000 0.500
Ce1 0.871 0.379 0.379
Ce2 0.129 0.621 0.621
# Energy, Ha/atom: -0.3464
# Volume, Å³ per cell: 115.2
# Energy above the most stable polymorph in this dataset, meV/atom: 0
# Density of states at the Fermi level, states/eV/cell: 8.34
# Energy relative to the elements, meV per atom: -94

Entry 4:
# GGA-PBE TeRu2Br, relaxed
data_TeRu2Br
_chemical_formula_sum 'Te1 Ru2 Br1'
_cell_length_a 10.130
_cell_length_b 10.130
_cell_length_c 10.130
_cell_angle_alpha 17.60
_cell_angle_beta 17.60
_cell_angle_gamma 17.60
_space_group_name_H-M_alt 'P 1'
_space_group_IT_number 1
_space_group_name_Hall 'P 1'
loop_
_atom_site_label
_atom_site_fract_x
_atom_site_fract_y
_atom_site_fract_z
Ru1 0.993 0.993 0.993
Ru2 0.260 0.260 0.260
Br1 0.725 0.725 0.725
Te1 0.522 0.522 0.522
# Formation energy without anion corrections, eV per atom: 0.45
# Energy, Ha/atom: -0.1980
# Volume, Å³ per cell: 83.0
# Energy above the most stable polymorph in this dataset, meV/atom: 77
# Density of states at the Fermi level, states/eV/cell: 6.15